LiCeScTe3 | the Alexandria database | PBE | optimized geometry; formation energy (no corrections) = -1.196 eV per atom; E_tot = -61.556 eV for the cell shown; crystal system = monoclinic; spin magnetization = 2.977 μB/cell
1.0
8.642 0.000 0.000
0.000 4.250 0.000
-2.422 0.000 9.179
Li Ce Sc Te
2 2 2 6
Cartesian
0.554 1.063 0.810
5.665 3.188 8.369
-0.106 1.063 6.768
6.326 3.188 2.412
2.010 3.188 3.145
4.210 1.063 6.034
-0.053 1.063 3.434
2.091 3.188 0.106
2.192 3.188 6.097
4.028 1.063 3.082
4.129 1.063 9.073
6.273 3.188 5.746